# 1
# Te2Mo2SeS (PBE, relaxed)
# Fermi-level density of states in states/eV per cell: 1.47
# Total magnetic moment in μB per formula unit: 0.00
# Energy in eV/cell: -76.79
data_Te2Mo2SeS
_cell_length_a 3.3965
_cell_length_b 3.3965
_cell_length_c 34.5494
_cell_angle_alpha 90.00
_cell_angle_beta 90.00
_cell_angle_gamma 120.00
_space_group_name_H-M_alt 'P 3 m 1'
_space_group_IT_number 156
_space_group_name_Hall 'P 3 -2"'
loop_
_atom_site_label
_atom_site_type_symbol
_atom_site_fract_x
_atom_site_fract_y
_atom_site_fract_z
Te1 Te 0.0000 0.0000 0.0000
Te2 Te 0.0000 0.0000 0.1086
Te3 Te 0.3333 0.6667 0.7776
Te4 Te 0.3333 0.6667 0.8861
Mo1 Mo 0.0000 0.0000 0.2603
Mo2 Mo 0.0000 0.0000 0.8318
Mo3 Mo 0.3333 0.6667 0.0543
Mo4 Mo 0.3333 0.6667 0.4619
Se1 Se 0.0000 0.0000 0.4142
Se2 Se 0.0000 0.0000 0.5096
S1 S 0.3333 0.6667 0.2169
S2 S 0.3333 0.6667 0.3038

---

# 2
# KSc2MnSb (PBE, relaxed)
# Fermi-level density of states in states/eV per cell: 6.51
# Total magnetic moment in μB per formula unit: 3.15
# Energy in eV/cell: -19.99
data_KSc2MnSb
_cell_length_a 5.0822
_cell_length_b 5.0822
_cell_length_c 4.7009
_cell_angle_alpha 90.00
_cell_angle_beta 90.00
_cell_angle_gamma 90.00
_space_group_name_H-M_alt 'P 4/m m m'
_space_group_IT_number 123
_space_group_name_Hall '-P 4 2'
loop_
_atom_site_label
_atom_site_type_symbol
_atom_site_fract_x
_atom_site_fract_y
_atom_site_fract_z
K1 K 0.0000 0.0000 0.0000
Sc1 Sc 0.0000 0.5000 0.0000
Mn1 Mn 0.0000 0.0000 0.5000
Sb1 Sb 0.5000 0.5000 0.5000

---

# 3
# TiAsSe3 (PBE, relaxed)
# Fermi-level density of states in states/eV per cell: 5.48
# Total magnetic moment in μB per formula unit: 0.00
# Energy in eV/cell: -22.89
data_TiAsSe3
_cell_length_a 4.9152
_cell_length_b 4.9152
_cell_length_c 4.9152
_cell_angle_alpha 90.00
_cell_angle_beta 90.00
_cell_angle_gamma 90.00
_space_group_name_H-M_alt 'P m -3 m'
_space_group_IT_number 221
_space_group_name_Hall '-P 4 2 3'
loop_
_atom_site_label
_atom_site_type_symbol
_atom_site_fract_x
_atom_site_fract_y
_atom_site_fract_z
Ti1 Ti 0.0000 0.0000 0.0000
As1 As 0.5000 0.5000 0.5000
Se1 Se 0.0000 0.0000 0.5000

---

# 4
# Pm3Pu4S8 (PBE, relaxed)
# Fermi-level density of states in states/eV per cell: 64.40
# Total magnetic moment in μB per formula unit: 22.22
# Energy in eV/cell: -265.77
data_Pm3Pu4S8
_cell_length_a 11.2837
_cell_length_b 11.2892
_cell_length_c 7.9755
_cell_angle_alpha 90.00
_cell_angle_beta 134.91
_cell_angle_gamma 90.00
_space_group_name_H-M_alt 'C 1 2/m 1'
_space_group_IT_number 12
_space_group_name_Hall '-C 2y'
loop_
_atom_site_label
_atom_site_type_symbol
_atom_site_fract_x
_atom_site_fract_y
_atom_site_fract_z
Pm1 Pm 0.0000 0.0000 0.0000
Pm2 Pm 0.2500 0.2500 0.5000
Pu1 Pu 0.0000 0.5000 0.0000
Pu2 Pu 0.0000 0.5000 0.5000
Pu3 Pu 0.2500 0.2500 0.0000
S1 S 0.0000 0.2526 0.0000
S2 S 0.0000 0.2531 0.5000
S3 S 0.2432 0.5000 0.9921
S4 S 0.2463 0.5000 0.4965

---

# 5
# Tb4PrNd2Th (PBE, relaxed)
# Fermi-level density of states in states/eV per cell: 10.28
# Formation energy in kJ/mol of formula units: 6
# Total magnetic moment in μB per formula unit: 0.00
# Energy in eV/cell: -40.20
data_Tb4PrNd2Th
_cell_length_a 6.3078
_cell_length_b 3.6258
_cell_length_c 11.6177
_cell_angle_alpha 90.00
_cell_angle_beta 90.09
_cell_angle_gamma 90.00
_space_group_name_H-M_alt 'P 1 2/m 1'
_space_group_IT_number 10
_space_group_name_Hall '-P 2y'
loop_
_atom_site_label
_atom_site_type_symbol
_atom_site_fract_x
_atom_site_fract_y
_atom_site_fract_z
Tb1 Tb 0.1645 0.0000 0.2556
Tb2 Tb 0.3277 0.5000 0.7476
Pr1 Pr 0.5000 0.0000 0.0000
Nd1 Nd 0.0000 0.5000 0.0000
Nd2 Nd 0.5000 0.0000 0.5000
Th1 Th 0.0000 0.5000 0.5000

---

# 6
# TlAgI3 (PBE, relaxed)
# Fermi-level density of states in states/eV per cell: 2.96
# Total magnetic moment in μB per formula unit: 0.00
# Energy in eV/cell: -23.01
data_TlAgI3
_cell_length_a 6.5151
_cell_length_b 7.8938
_cell_length_c 9.6467
_cell_angle_alpha 90.00
_cell_angle_beta 109.57
_cell_angle_gamma 90.00
_space_group_name_H-M_alt 'P 1 21 1'
_space_group_IT_number 4
_space_group_name_Hall 'P 2yb'
loop_
_atom_site_label
_atom_site_type_symbol
_atom_site_fract_x
_atom_site_fract_y
_atom_site_fract_z
Tl1 Tl 0.1596 0.0000 0.3139
Ag1 Ag 0.4407 0.0558 0.8809
I1 I 0.0726 0.9033 0.6500
I2 I 0.4188 0.4040 0.3501
I3 I 0.4190 0.4077 0.8429